## Ac2Pm7Sm4 (PBE)

Data for Ac2Pm7Sm4 after structural relaxation.

Summary:
Raw total energy ... -4.47 eV per atom
Total magnetization ... 0.00 μB per formula unit
DOS(E_F) ... 1.40 states/eV/atom
Crystal system ... trigonal
Space group ... P-31m

Unit cell a=6.3396 b=6.3396 c=13.4731 alpha=90.00 beta=90.00 gamma=120.00
Sites, in units of the cell vectors:
Ac 0.3333 0.6667 0.0000
Ac 0.6667 0.3333 0.0000
Pm 0.0000 0.0000 0.0000
Pm 0.0000 0.3670 0.7757
Pm 0.0000 0.6330 0.2243
Pm 0.3670 0.0000 0.7757
Pm 0.3670 0.3670 0.2243
Pm 0.6330 0.0000 0.2243
Pm 0.6330 0.6330 0.7757
Sm 0.0000 0.0000 0.3935
Sm 0.0000 0.0000 0.6065
Sm 0.3333 0.6667 0.5000
Sm 0.6667 0.3333 0.5000